Record 1
Here is an optimized crystal structure of Tl2IrRu from Alexandria via LeMat-Bulk. Energies are from PBE. Values from VASP.

## Properties
Energy above the lowest structure with this stoichiometry = 0.15 kJ per mole of atoms
Formation energy from the elements = 423.6 meV per atom
Mass density = 13.635 g/cm3

Cell and atoms, written as Quantum ESPRESSO input:
```
&SYSTEM
  ibrav = 0, nat = 4, ntyp = 3
/
ATOMIC_SPECIES
Tl 204.38 Tl.upf
Ir 192.22 Ir.upf
Ru 101.07 Ru.upf
CELL_PARAMETERS angstrom
2.9420 0.0000 0.0000
0.0000 2.9420 0.0000
0.0000 0.0000 9.8785
ATOMIC_POSITIONS crystal
Tl 0.0000 0.0000 0.0000
Tl 0.5000 0.5000 0.3611
Ir 0.0000 0.0000 0.6063
Ru 0.5000 0.5000 0.7643
```

Record 2
Here is an optimized crystal structure of TlIr2Ru from Alexandria via LeMat-Bulk. Energies are from PBE. Values from VASP.

## Properties
Energy above the lowest structure with this stoichiometry = 23.49 kJ per mole of atoms
Formation energy from the elements = 608.7 meV per atom
Mass density = 17.273 g/cm3

Cell and atoms, written as Quantum ESPRESSO input:
```
&SYSTEM
  ibrav = 0, nat = 4, ntyp = 3
/
ATOMIC_SPECIES
Tl 204.38 Tl.upf
Ir 192.22 Ir.upf
Ru 101.07 Ru.upf
CELL_PARAMETERS angstrom
2.8484 0.0000 0.0000
0.0000 4.7963 0.0000
-0.0159 0.0000 4.8546
ATOMIC_POSITIONS crystal
Tl 0.0000 0.0000 0.0000
Ir 0.2526 0.5000 0.2672
Ir 0.7474 0.5000 0.7328
Ru 0.5000 0.0000 0.5000
```

Record 3
Here is an optimized crystal structure of TlIr2Ru from Alexandria via LeMat-Bulk. Energies are from PBE. Values from VASP.

## Properties
Energy above the lowest structure with this stoichiometry = 29.97 kJ per mole of atoms
Formation energy from the elements = 675.9 meV per atom
Mass density = 17.366 g/cm3

Cell and atoms, written as Quantum ESPRESSO input:
```
&SYSTEM
  ibrav = 0, nat = 4, ntyp = 3
/
ATOMIC_SPECIES
Tl 204.38 Tl.upf
Ir 192.22 Ir.upf
Ru 101.07 Ru.upf
CELL_PARAMETERS angstrom
4.7789 0.0000 0.0000
0.0000 4.7789 0.0000
0.0000 0.0000 2.8885
ATOMIC_POSITIONS crystal
Tl 0.0000 0.0000 0.0000
Ir 0.0000 0.5000 0.5000
Ir 0.5000 0.0000 0.5000
Ru 0.5000 0.5000 0.0000
```

Record 4
Here is an optimized crystal structure of TlIrRu2 from Alexandria via LeMat-Bulk. Energies are from PBE. Values from VASP.

## Properties
Energy above the lowest structure with this stoichiometry = 11.10 kJ per mole of atoms
Formation energy from the elements = 509.9 meV per atom
Mass density = 15.612 g/cm3

Cell and atoms, written as Quantum ESPRESSO input:
```
&SYSTEM
  ibrav = 0, nat = 4, ntyp = 3
/
ATOMIC_SPECIES
Tl 204.38 Tl.upf
Ir 192.22 Ir.upf
Ru 101.07 Ru.upf
CELL_PARAMETERS angstrom
-2.0012 2.0012 3.9758
2.0012 -2.0012 3.9758
2.0012 2.0012 -3.9758
ATOMIC_POSITIONS crystal
Tl 0.0000 0.0000 0.0000
Ir 0.5000 0.5000 0.0000
Ru 0.2500 0.7500 0.5000
Ru 0.7500 0.2500 0.5000
```

Record 5
Here is an optimized crystal structure of Tl2IrRu from Alexandria via LeMat-Bulk. Energies are from PBE. Values from VASP.

## Properties
Energy above the lowest structure with this stoichiometry = 0.00 kJ per mole of atoms
Formation energy from the elements = 422.1 meV per atom
Mass density = 13.335 g/cm3

Cell and atoms, written as Quantum ESPRESSO input:
```
&SYSTEM
  ibrav = 0, nat = 4, ntyp = 3
/
ATOMIC_SPECIES
Tl 204.38 Tl.upf
Ir 192.22 Ir.upf
Ru 101.07 Ru.upf
CELL_PARAMETERS angstrom
2.9109 0.0000 0.0000
0.0000 3.6984 0.0000
0.0000 0.0000 8.1206
ATOMIC_POSITIONS crystal
Tl 0.0000 0.0000 0.0000
Tl 0.5000 0.5000 0.3505
Ir 0.0000 0.0000 0.6135
Ru 0.5000 0.5000 0.7398
```

Record 6
Here is an optimized crystal structure of TlIr2Ru from Alexandria via LeMat-Bulk. Energies are from PBE. Values from VASP.

## Properties
Energy above the lowest structure with this stoichiometry = 11.04 kJ per mole of atoms
Formation energy from the elements = 479.7 meV per atom
Mass density = 17.439 g/cm3

Cell and atoms, written as Quantum ESPRESSO input:
```
&SYSTEM
  ibrav = 0, nat = 4, ntyp = 3
/
ATOMIC_SPECIES
Tl 204.38 Tl.upf
Ir 192.22 Ir.upf
Ru 101.07 Ru.upf
CELL_PARAMETERS angstrom
1.4396 0.8312 9.1502
-1.4396 0.8312 9.1502
0.0000 -1.6623 9.1502
ATOMIC_POSITIONS crystal
Tl 0.0000 0.0000 0.0000
Ir 0.2428 0.2428 0.2428
Ir 0.7572 0.7572 0.7572
Ru 0.5000 0.5000 0.5000
```

Record 7
Here is an optimized crystal structure of TlIrRu2 from Alexandria via LeMat-Bulk. Energies are from PBE. Values from VASP.

## Properties
Energy above the lowest structure with this stoichiometry = 30.58 kJ per mole of atoms
Formation energy from the elements = 711.9 meV per atom
Mass density = 14.954 g/cm3

Cell and atoms, written as Quantum ESPRESSO input:
```
&SYSTEM
  ibrav = 0, nat = 4, ntyp = 3
/
ATOMIC_SPECIES
Tl 204.38 Tl.upf
Ir 192.22 Ir.upf
Ru 101.07 Ru.upf
CELL_PARAMETERS angstrom
2.8602 0.0000 0.0000
0.0000 4.6794 0.0000
-0.1185 0.0000 4.9676
ATOMIC_POSITIONS crystal
Tl 0.0000 0.0000 0.0000
Ir 0.5000 0.0000 0.5000
Ru 0.2375 0.5000 0.7172
Ru 0.7625 0.5000 0.2828
```

Record 8
Here is an optimized crystal structure of Tl4IrRu from Alexandria via LeMat-Bulk. Energies are from PBE. Values from VASP.

## Properties
Formation energy from the elements = 1360.2 meV per atom
Mass density = 12.301 g/cm3

Cell and atoms, written as Quantum ESPRESSO input:
```
&SYSTEM
  ibrav = 0, nat = 6, ntyp = 3
/
ATOMIC_SPECIES
Tl 204.38 Tl.upf
Ir 192.22 Ir.upf
Ru 101.07 Ru.upf
CELL_PARAMETERS angstrom
0.0000 4.2167 4.2167
4.2167 0.0000 4.2167
4.2167 4.2167 0.0000
ATOMIC_POSITIONS crystal
Tl 0.1248 0.1248 0.1248
Tl 0.1248 0.1248 0.6255
Tl 0.1248 0.6255 0.1248
Tl 0.6255 0.1248 0.1248
Ir 0.7500 0.7500 0.7500
Ru 0.5000 0.5000 0.5000
```